Arrangement A

Entry from Alexandria: crystalline Cs2SrGe at its relaxed geometry (PBE-GGA).

The calculation puts the density of states at the Fermi level at 0.809 states/eV/atom. The calculation puts the volume at 1183.1 Å³/cell. As for the crystal system: tetragonal.

The structure belongs to space group I-42d (No. 122); the cell edges are 13.959, 13.959 and 6.071 Å and the angles 90.00°, 90.00° and 90.00°. The distinct sites, in fractional coordinates, are Cs at (0.098, 0.250, 0.125), Sr at (0.000, 0.000, 0.500) and Ge at (0.000, 0.000, 0.000).


Arrangement B

Entry from Alexandria: crystalline Cs2SrGe at its relaxed geometry (PBE-GGA).

The calculation puts the density of states at the Fermi level at 0.567 states/eV/atom. The calculation puts the volume at 769.3 Å³/cell. As for the crystal system: cubic.

The structure belongs to space group Fm-3m (No. 225); the cell edges are 9.163, 9.163 and 9.163 Å and the angles 90.00°, 90.00° and 90.00°. The distinct sites, in fractional coordinates, are Cs at (0.250, 0.250, 0.250), Sr at (0.000, 0.000, 0.000) and Ge at (0.000, 0.000, 0.500).


Ordering by calculated energy gives the sequence arrangement A, arrangement B, with the first entry being the most stable.